A geometry-optimized Fe6Pd8Pt structure, computed with PBE.

Results
**Space group**: R-3, No. 148
**Calculated formation energy**: 0.0600 eV/atom
**Calculated total energy**: -6.4973 eV/atom

Geometry as extended XYZ:
```
15
Lattice="3.557 2.054 5.220 -3.557 2.054 5.220 0.000 -4.107 5.220" Properties=species:S:1:pos:R:3 pbc="T T T"
Fe -1.087 -1.766 5.855
Fe -2.073 0.058 9.805
Fe -0.986 1.825 5.855
Fe 0.986 -1.825 9.805
Fe 2.073 -0.058 5.855
Fe 1.087 1.766 9.805
Pd -2.435 0.331 7.175
Pd -1.504 -1.943 8.485
Pd 0.000 0.000 4.114
Pd 0.930 -2.274 7.175
Pd -0.930 2.274 8.485
Pd 0.000 0.000 11.547
Pd 1.504 1.943 7.175
Pd 2.435 -0.331 8.485
Pt 0.000 0.000 0.000
```